# BaCr3I

A relaxed BaCr3I crystal (PBE-GGA, Alexandria via LeMat-Bulk).

Cell and atoms, written as CIF:
```
data_BaCr3I
_symmetry_space_group_name_H-M 'P 1'
_symmetry_Int_Tables_number 1
_symmetry_space_group_name_Hall 'P 1'
_cell_length_a 5.502
_cell_length_b 5.502
_cell_length_c 5.502
_cell_angle_alpha 90.00
_cell_angle_beta 90.00
_cell_angle_gamma 90.00
loop_
_atom_site_label
_atom_site_type_symbol
_atom_site_fract_x
_atom_site_fract_y
_atom_site_fract_z
I1 I 0.000 0.000 0.000
Cr1 Cr 0.000 0.500 0.000
Cr2 Cr 0.000 0.000 0.500
Cr3 Cr 0.500 0.000 0.000
Ba1 Ba 0.500 0.500 0.500
```

Space group: Pm-3m, No. 221
Formation energy without anion corrections (eV per atom): 1.226